No. 1
A plane-wave DFT calculation with GGA-PBE was carried out for Cu2MoPt after structural relaxation.

Computed properties:
Its density is 12.43 g cm⁻³. The energy of formation comes out at 48.5 meV per atom. As for the polymorph energy (0 for the lowest one): 107 meV per atom. The value obtained for the total magnetization is 0.00 μB per formula unit.

```
data_Cu2MoPt
_chemical_formula_sum 'Cu2 Mo1 Pt1'
_space_group_name_H-M_alt 'P 4/m m m'
_space_group_IT_number 123
_space_group_name_Hall '-P 4 2'
_cell_length_a 2.681
_cell_length_b 2.681
_cell_length_c 7.771
_cell_angle_alpha 90.00
_cell_angle_beta 90.00
_cell_angle_gamma 90.00
loop_
_atom_site_label
_atom_site_type_symbol
_atom_site_fract_x
_atom_site_fract_y
_atom_site_fract_z
Cu1 Cu 0.000 0.000 0.245
Mo1 Mo 0.500 0.500 0.500
Pt1 Pt 0.500 0.500 0.000
```

=====

No. 2
A plane-wave DFT calculation with GGA-PBE was carried out for SmAl2Cu2Pd after structural relaxation.

Computed properties:
Its density is 6.06 g cm⁻³. The energy of formation comes out at -144.4 meV per atom. The value obtained for the total magnetization is 0.00 μB per formula unit.

```
data_SmAl2Cu2Pd
_chemical_formula_sum 'Sm1 Al2 Cu2 Pd1'
_space_group_name_H-M_alt 'P 4/m m m'
_space_group_IT_number 123
_space_group_name_Hall '-P 4 2'
_cell_length_a 4.644
_cell_length_b 4.644
_cell_length_c 5.562
_cell_angle_alpha 90.00
_cell_angle_beta 90.00
_cell_angle_gamma 90.00
loop_
_atom_site_label
_atom_site_type_symbol
_atom_site_fract_x
_atom_site_fract_y
_atom_site_fract_z
Sm1 Sm 0.000 0.000 0.000
Al1 Al 0.000 0.500 0.500
Cu1 Cu 0.500 0.500 0.226
Pd1 Pd 0.000 0.000 0.500
```

=====

No. 3
A plane-wave DFT calculation with GGA-PBE was carried out for SnHBr after structural relaxation.

Computed properties:
Its density is 5.08 g cm⁻³. As for the polymorph energy (0 for the lowest one): 307 meV per atom. The value obtained for the total magnetization is 0.00 μB per formula unit.

```
data_SnHBr
_chemical_formula_sum 'Sn2 H2 Br2'
_space_group_name_H-M_alt 'I 4 m m'
_space_group_IT_number 107
_space_group_name_Hall 'I 4 -2'
_cell_length_a 3.485
_cell_length_b 3.485
_cell_length_c 10.754
_cell_angle_alpha 90.00
_cell_angle_beta 90.00
_cell_angle_gamma 90.00
loop_
_atom_site_label
_atom_site_type_symbol
_atom_site_fract_x
_atom_site_fract_y
_atom_site_fract_z
Sn1 Sn 0.000 0.000 0.000
H1 H 0.000 0.000 0.490
Br1 Br 0.000 0.000 0.757
```

=====

No. 4
A plane-wave DFT calculation with GGA-PBE was carried out for Tb2HgS after structural relaxation.

Computed properties:
Its density is 9.17 g cm⁻³. As for the polymorph energy (0 for the lowest one): 52 meV per atom. The formation energy (no corrections) comes out at -1.17 eV per atom. The value obtained for the total magnetization is 0.00 μB per formula unit.

```
data_Tb2HgS
_chemical_formula_sum 'Tb6 Hg3 S3'
_space_group_name_H-M_alt 'R 3 m'
_space_group_IT_number 160
_space_group_name_Hall 'R 3 -2"'
_cell_length_a 3.8444
_cell_length_b 3.8444
_cell_length_c 23.3736
_cell_angle_alpha 90.00
_cell_angle_beta 90.00
_cell_angle_gamma 120.00
loop_
_atom_site_label
_atom_site_type_symbol
_atom_site_fract_x
_atom_site_fract_y
_atom_site_fract_z
Tb1 Tb 0.0000 0.0000 0.0000
Tb2 Tb 0.0000 0.0000 0.1945
Hg1 Hg 0.0000 0.0000 0.7637
S1 S 0.0000 0.0000 0.5954
```

=====

No. 5
A plane-wave DFT calculation with GGA-PBE was carried out for Sr2TcTe after structural relaxation.

Computed properties:
Its density is 4.69 g cm⁻³. The formation energy (no corrections) comes out at 0.57 eV per atom. The value obtained for the total magnetization is 2.49 μB per formula unit.

```
data_Sr2TcTe
_chemical_formula_sum 'Sr8 Tc4 Te4'
_space_group_name_H-M_alt 'I -4 2 d'
_space_group_IT_number 122
_space_group_name_Hall 'I -4 2bw'
_cell_length_a 5.228
_cell_length_b 5.228
_cell_length_c 20.757
_cell_angle_alpha 90.00
_cell_angle_beta 90.00
_cell_angle_gamma 90.00
loop_
_atom_site_label
_atom_site_type_symbol
_atom_site_fract_x
_atom_site_fract_y
_atom_site_fract_z
Sr1 Sr 0.243 0.250 0.125
Tc1 Tc 0.000 0.000 0.000
Te1 Te 0.000 0.000 0.500
```

=====

No. 6
A plane-wave DFT calculation with GGA-PBE was carried out for Li2PuGa4Pd after structural relaxation.

Computed properties:
Its density is 7.59 g cm⁻³. The energy of formation comes out at -362.7 meV per atom. The value obtained for the total magnetization is 5.57 μB per formula unit.

```
data_Li2PuGa4Pd
_chemical_formula_sum 'Li6 Pu3 Ga12 Pd3'
_space_group_name_H-M_alt 'R -3 m'
_space_group_IT_number 166
_space_group_name_Hall '-R 3 2"'
_cell_length_a 4.3286
_cell_length_b 4.3286
_cell_length_c 26.0226
_cell_angle_alpha 90.00
_cell_angle_beta 90.00
_cell_angle_gamma 120.00
loop_
_atom_site_label
_atom_site_type_symbol
_atom_site_fract_x
_atom_site_fract_y
_atom_site_fract_z
Li1 Li 0.0000 0.0000 0.2314
Pu1 Pu 0.0000 0.0000 0.0000
Ga1 Ga 0.0000 0.0000 0.1241
Ga2 Ga 0.0000 0.0000 0.3993
Pd1 Pd 0.0000 0.0000 0.5000
```

=====

No. 7
A plane-wave DFT calculation with GGA-PBE was carried out for Tb3Ho7 after structural relaxation.

Computed properties:
Its density is 8.56 g cm⁻³. The energy of formation comes out at 195.3 meV per atom. As for the polymorph energy (0 for the lowest one): 180 meV per atom. The value obtained for the total magnetization is 0.00 μB per formula unit.

```
data_Tb3Ho7
_chemical_formula_sum 'Tb6 Ho14'
_space_group_name_H-M_alt 'P 63 m c'
_space_group_IT_number 186
_space_group_name_Hall 'P 6c -2c'
_cell_length_a 10.6958
_cell_length_b 10.6958
_cell_length_c 6.3850
_cell_angle_alpha 90.00
_cell_angle_beta 90.00
_cell_angle_gamma 120.00
loop_
_atom_site_label
_atom_site_type_symbol
_atom_site_fract_x
_atom_site_fract_y
_atom_site_fract_z
Tb1 Tb 0.2065 0.4130 0.0000
Ho1 Ho 0.0584 0.5292 0.3479
Ho2 Ho 0.1202 0.2404 0.5180
Ho3 Ho 0.3333 0.6667 0.6465
```

=====

No. 8
A plane-wave DFT calculation with GGA-PBE was carried out for Ga2WBr after structural relaxation.

Computed properties:
Its density is 8.96 g cm⁻³. As for the polymorph energy (0 for the lowest one): 9 meV per atom. The formation energy (no corrections) comes out at 1.03 eV per atom. The value obtained for the total magnetization is 0.00 μB per formula unit.

```
data_Ga2WBr
_chemical_formula_sum 'Ga8 W4 Br4'
_space_group_name_H-M_alt 'F m -3 m'
_space_group_IT_number 225
_space_group_name_Hall '-F 4 2 3'
_cell_length_a 6.686
_cell_length_b 6.686
_cell_length_c 6.686
_cell_angle_alpha 90.00
_cell_angle_beta 90.00
_cell_angle_gamma 90.00
loop_
_atom_site_label
_atom_site_type_symbol
_atom_site_fract_x
_atom_site_fract_y
_atom_site_fract_z
Ga1 Ga 0.250 0.250 0.250
W1 W 0.000 0.000 0.000
Br1 Br 0.000 0.000 0.500
```

=====

No. 9
A plane-wave DFT calculation with GGA-PBE was carried out for MgTe2IN after structural relaxation.

Computed properties:
Its density is 4.89 g cm⁻³. As for the polymorph energy (0 for the lowest one): 405 meV per atom. The formation energy (no corrections) comes out at 0.97 eV per atom. The value obtained for the total magnetization is 0.00 μB per formula unit.

```
data_MgTe2IN
_chemical_formula_sum 'Mg1 Te2 I1 N1'
_space_group_name_H-M_alt 'P 4/m m m'
_space_group_IT_number 123
_space_group_name_Hall '-P 4 2'
_cell_length_a 6.007
_cell_length_b 6.007
_cell_length_c 3.960
_cell_angle_alpha 90.00
_cell_angle_beta 90.00
_cell_angle_gamma 90.00
loop_
_atom_site_label
_atom_site_type_symbol
_atom_site_fract_x
_atom_site_fract_y
_atom_site_fract_z
Mg1 Mg 0.000 0.000 0.000
Te1 Te 0.000 0.500 0.500
I1 I 0.500 0.500 0.500
N1 N 0.500 0.500 0.000
```

=====

Number 5 is which compound? Sr2TcTe

=====

What did the fifth record say?
A plane-wave DFT calculation with GGA-PBE was carried out for Sr2TcTe after structural relaxation.

Computed properties:
Its density is 4.69 g cm⁻³. The formation energy (no corrections) comes out at 0.57 eV per atom. The value obtained for the total magnetization is 2.49 μB per formula unit.

```
data_Sr2TcTe
_chemical_formula_sum 'Sr8 Tc4 Te4'
_space_group_name_H-M_alt 'I -4 2 d'
_space_group_IT_number 122
_space_group_name_Hall 'I -4 2bw'
_cell_length_a 5.228
_cell_length_b 5.228
_cell_length_c 20.757
_cell_angle_alpha 90.00
_cell_angle_beta 90.00
_cell_angle_gamma 90.00
loop_
_atom_site_label
_atom_site_type_symbol
_atom_site_fract_x
_atom_site_fract_y
_atom_site_fract_z
Sr1 Sr 0.243 0.250 0.125
Tc1 Tc 0.000 0.000 0.000
Te1 Te 0.000 0.000 0.500
```